A plane-wave DFT calculation with PBE with a Hubbard U was carried out for an optimized crystal structure of BaCoOF2.

Summary:
- Total magnetic moment: 3.000 μB/cell
- Theoretical density: 5.8 g/cm³
- Calculated total energy: -5.58 eV per atom
- Crystal system: tetragonal
- D(E_F): 1.099 states/eV/f.u.

Cell: 4.2984 4.2984 3.8851 Å, 90.00 90.00 90.00°
Closest atoms and distances in Å follow each position.
Positions (direct):
1 Ba 0.0000 0.0000 0.0000  8 F 2.90, 4 O 3.04
2 Co 0.5000 0.5000 0.5000  2 O 1.94, 4 F 2.15
3 O 0.5000 0.5000 0.0000  2 Co 1.94
4 F 0.0000 0.5000 0.5000  2 Co 2.15
5 F 0.5000 0.0000 0.5000  2 Co 2.15